La3CeNi: optimized geometry, PBE.

Calculated values
For the total DFT energy (no corrections), the calculation gives -26.11 eV for the cell shown. As for the crystal system: cubic.

Cell and atoms, written as POSCAR:
```
La3CeNi
1.0
5.5661 0.0000 0.0000
0.0000 5.5661 0.0000
0.0000 0.0000 5.5661
La Ce Ni
3 1 1
Direct
0.0000 0.0000 0.5000
0.0000 0.5000 0.0000
0.5000 0.0000 0.0000
0.5000 0.5000 0.5000
0.0000 0.0000 0.0000
```


Ac3In2CuPd9: optimized geometry, PBE.

Calculated values
For the total DFT energy (no corrections), the calculation gives -73.77 eV for the cell shown. As for the crystal system: trigonal.

Cell and atoms, written as POSCAR:
```
Ac3In2CuPd9
1.0
7.7048 0.0000 0.0000
-3.8524 6.6725 0.0000
0.0000 0.0000 6.9312
Ac In Cu Pd
3 2 1 9
Direct
0.0000 0.0000 0.0000
0.3333 0.6667 0.6715
0.6667 0.3333 0.3285
0.3333 0.6667 0.1838
0.6667 0.3333 0.8162
0.0000 0.0000 0.5000
0.0000 0.5000 0.0000
0.1601 0.3202 0.3419
0.1601 0.8399 0.3419
0.3202 0.1601 0.6581
0.5000 0.0000 0.0000
0.5000 0.5000 0.0000
0.6798 0.8399 0.3419
0.8399 0.1601 0.6581
0.8399 0.6798 0.6581
```


KAcO: optimized geometry, PBE.

Calculated values
Its formation energy without anion corrections is -1.60 eV per atom. As for the crystal system: hexagonal. The value obtained for the polymorph energy (0 for the lowest one) is 0.20 eV/f.u.

Cell and atoms, written as POSCAR:
```
KAcO
1.0
4.1828 0.0000 0.0000
-2.0914 3.6224 0.0000
0.0000 0.0000 8.2175
K Ac O
1 1 1
Direct
0.0000 0.0000 0.0000
0.6667 0.3333 0.5000
0.3333 0.6667 0.5000
```


Sn2PdPt2: optimized geometry, PBE.

Calculated values
As for the crystal system: monoclinic. The value obtained for the polymorph energy (0 for the lowest one) is 0.00 eV/f.u.

Cell and atoms, written as POSCAR:
```
Sn2PdPt2
1.0
3.4587 -2.0375 0.0000
3.4587 2.0375 0.0000
-2.3449 0.0000 7.2243
Sn Pd Pt
2 1 2
Direct
0.0891 0.0891 0.2811
0.9109 0.9109 0.7189
0.5000 0.5000 0.5000
0.3662 0.3662 0.1043
0.6338 0.6338 0.8957
```


DyScCdGa: optimized geometry, PBE.

Calculated values
As for the crystal system: tetragonal. The value obtained for the polymorph energy (0 for the lowest one) is 0.00 eV/f.u.

Cell and atoms, written as POSCAR:
```
DyScCdGa
1.0
3.5215 0.0000 0.0000
0.0000 3.5215 0.0000
0.0000 0.0000 7.2151
Dy Sc Cd Ga
1 1 1 1
Direct
0.0000 0.0000 0.0000
0.0000 0.0000 0.5321
0.5000 0.5000 0.2882
0.5000 0.5000 0.7473
```


Mg2InTc: optimized geometry, PBE.

Calculated values
For the total DFT energy (no corrections), the calculation gives -15.60 eV for the cell shown. As for the crystal system: tetragonal.

Cell and atoms, written as POSCAR:
```
Mg2InTc
1.0
3.4845 0.0000 0.0000
0.0000 3.4845 0.0000
0.0000 0.0000 6.2257
Mg In Tc
2 1 1
Direct
0.0000 0.0000 0.0000
0.5000 0.5000 0.2718
0.5000 0.5000 0.7190
0.0000 0.0000 0.4918
```